# SrTl2Zn2, relaxed, DFT PBE-GGA
data_SrTl2Zn2
_symmetry_space_group_name_H-M 'P 1'
_symmetry_Int_Tables_number 1
_symmetry_space_group_name_Hall 'P 1'
_cell_length_a 4.635
_cell_length_b 4.635
_cell_length_c 12.231
_cell_angle_alpha 90.00
_cell_angle_beta 90.00
_cell_angle_gamma 90.00
loop_
_atom_site_label
_atom_site_type_symbol
_atom_site_fract_x
_atom_site_fract_y
_atom_site_fract_z
Sr1 Sr 0.000 0.000 0.000
Sr2 Sr 0.500 0.500 0.500
Tl1 Tl 0.000 0.000 0.377
Tl2 Tl 0.000 0.000 0.623
Tl3 Tl 0.500 0.500 0.123
Tl4 Tl 0.500 0.500 0.877
Zn1 Zn 0.000 0.500 0.250
Zn2 Zn 0.000 0.500 0.750
Zn3 Zn 0.500 0.000 0.250
Zn4 Zn 0.500 0.000 0.750
# **ΔE_f**: -0.134 eV/atom
# **E above lowest polymorph**: 0.25 eV per formula unit
# **DOS(E_F)**: 2.1 states/eV/f.u.
# **Symmetry**: No. 139

---

# LaNdGaSn, relaxed, DFT PBE-GGA
data_LaNdGaSn
_symmetry_space_group_name_H-M 'P 1'
_symmetry_Int_Tables_number 1
_symmetry_space_group_name_Hall 'P 1'
_cell_length_a 7.679
_cell_length_b 7.679
_cell_length_c 7.679
_cell_angle_alpha 90.00
_cell_angle_beta 90.00
_cell_angle_gamma 90.00
loop_
_atom_site_label
_atom_site_type_symbol
_atom_site_fract_x
_atom_site_fract_y
_atom_site_fract_z
La1 La 0.000 0.000 0.000
La2 La 0.000 0.500 0.500
La3 La 0.500 0.000 0.500
La4 La 0.500 0.500 0.000
Nd1 Nd 0.000 0.000 0.500
Nd2 Nd 0.000 0.500 0.000
Nd3 Nd 0.500 0.000 0.000
Nd4 Nd 0.500 0.500 0.500
Ga1 Ga 0.250 0.250 0.250
Ga2 Ga 0.250 0.750 0.750
Ga3 Ga 0.750 0.250 0.750
Ga4 Ga 0.750 0.750 0.250
Sn1 Sn 0.250 0.250 0.750
Sn2 Sn 0.250 0.750 0.250
Sn3 Sn 0.750 0.250 0.250
Sn4 Sn 0.750 0.750 0.750
# **ΔE_f**: -0.590 eV/atom
# **E above lowest polymorph**: 0.49 eV per formula unit
# **DOS(E_F)**: 2.4 states/eV/f.u.
# **Symmetry**: No. 216

---

# NdMg3Hg, relaxed, DFT PBE-GGA
data_NdMg3Hg
_symmetry_space_group_name_H-M 'P 1'
_symmetry_Int_Tables_number 1
_symmetry_space_group_name_Hall 'P 1'
_cell_length_a 9.415
_cell_length_b 4.344
_cell_length_c 12.531
_cell_angle_alpha 90.00
_cell_angle_beta 90.00
_cell_angle_gamma 90.00
loop_
_atom_site_label
_atom_site_type_symbol
_atom_site_fract_x
_atom_site_fract_y
_atom_site_fract_z
Nd1 Nd 0.170 0.250 0.002
Nd2 Nd 0.330 0.750 0.502
Nd3 Nd 0.670 0.250 0.498
Nd4 Nd 0.830 0.750 0.998
Mg1 Mg 0.062 0.250 0.409
Mg2 Mg 0.094 0.750 0.219
Mg3 Mg 0.147 0.750 0.790
Mg4 Mg 0.353 0.250 0.290
Mg5 Mg 0.406 0.250 0.719
Mg6 Mg 0.438 0.750 0.909
Mg7 Mg 0.562 0.250 0.091
Mg8 Mg 0.594 0.750 0.281
Mg9 Mg 0.647 0.750 0.710
Mg10 Mg 0.853 0.250 0.210
Mg11 Mg 0.906 0.250 0.781
Mg12 Mg 0.938 0.750 0.591
Hg1 Hg 0.134 0.250 0.628
Hg2 Hg 0.366 0.750 0.128
Hg3 Hg 0.634 0.250 0.872
Hg4 Hg 0.866 0.750 0.372
# **ΔE_f**: -0.200 eV/atom
# **DOS(E_F)**: 3.2 states/eV/f.u.
# **Symmetry**: No. 62

---

# ZrHPd2, relaxed, DFT PBE-GGA
data_ZrHPd2
_symmetry_space_group_name_H-M 'P 1'
_symmetry_Int_Tables_number 1
_symmetry_space_group_name_Hall 'P 1'
_cell_length_a 2.955
_cell_length_b 2.955
_cell_length_c 22.763
_cell_angle_alpha 90.00
_cell_angle_beta 90.00
_cell_angle_gamma 120.00
loop_
_atom_site_label
_atom_site_type_symbol
_atom_site_fract_x
_atom_site_fract_y
_atom_site_fract_z
Zr1 Zr 0.000 0.000 0.000
Zr2 Zr 0.333 0.667 0.667
Zr3 Zr 0.667 0.333 0.333
H1 H 0.000 0.000 0.500
H2 H 0.333 0.667 0.167
H3 H 0.667 0.333 0.833
Pd1 Pd 0.000 0.000 0.114
Pd2 Pd 0.000 0.000 0.886
Pd3 Pd 0.333 0.667 0.552
Pd4 Pd 0.333 0.667 0.781
Pd5 Pd 0.667 0.333 0.219
Pd6 Pd 0.667 0.333 0.448
# **E above lowest polymorph**: 0.89 eV per formula unit
# **DOS(E_F)**: 1.6 states/eV/f.u.
# **Symmetry**: No. 166

---

# VReHgOs2, relaxed, DFT PBE-GGA
data_VReHgOs2
_symmetry_space_group_name_H-M 'P 1'
_symmetry_Int_Tables_number 1
_symmetry_space_group_name_Hall 'P 1'
_cell_length_a 4.423
_cell_length_b 4.423
_cell_length_c 4.858
_cell_angle_alpha 90.00
_cell_angle_beta 90.00
_cell_angle_gamma 90.00
loop_
_atom_site_label
_atom_site_type_symbol
_atom_site_fract_x
_atom_site_fract_y
_atom_site_fract_z
V1 V 0.000 0.000 0.000
Re1 Re 0.500 0.500 0.500
Hg1 Hg 0.000 0.000 0.500
Os1 Os 0.000 0.500 0.000
Os2 Os 0.500 0.000 0.000
# **ΔE_f**: 2.091 eV/atom
# **DOS(E_F)**: 5.2 states/eV/f.u.
# **Symmetry**: No. 123

---

# ReTc4Mo, relaxed, DFT PBE-GGA
data_ReTc4Mo
_symmetry_space_group_name_H-M 'P 1'
_symmetry_Int_Tables_number 1
_symmetry_space_group_name_Hall 'P 1'
_cell_length_a 5.062
_cell_length_b 5.062
_cell_length_c 5.062
_cell_angle_alpha 60.00
_cell_angle_beta 60.00
_cell_angle_gamma 60.00
loop_
_atom_site_label
_atom_site_type_symbol
_atom_site_fract_x
_atom_site_fract_y
_atom_site_fract_z
Re1 Re 0.000 0.000 0.000
Tc1 Tc 0.125 0.625 0.625
Tc2 Tc 0.625 0.125 0.625
Tc3 Tc 0.625 0.625 0.125
Tc4 Tc 0.625 0.625 0.625
Mo1 Mo 0.250 0.250 0.250
# **ΔE_f**: 0.222 eV/atom
# **DOS(E_F)**: 4.6 states/eV/f.u.
# **Symmetry**: No. 216

---

# Ta3Nb4Pd2, relaxed, DFT PBE-GGA
data_Ta3Nb4Pd2
_symmetry_space_group_name_H-M 'P 1'
_symmetry_Int_Tables_number 1
_symmetry_space_group_name_Hall 'P 1'
_cell_length_a 4.763
_cell_length_b 5.453
_cell_length_c 7.192
_cell_angle_alpha 81.04
_cell_angle_beta 70.74
_cell_angle_gamma 64.36
loop_
_atom_site_label
_atom_site_type_symbol
_atom_site_fract_x
_atom_site_fract_y
_atom_site_fract_z
Ta1 Ta 0.000 0.000 0.000
Ta2 Ta 0.225 0.442 0.108
Ta3 Ta 0.775 0.558 0.892
Nb1 Nb 0.335 0.668 0.662
Nb2 Nb 0.442 0.896 0.223
Nb3 Nb 0.558 0.104 0.777
Nb4 Nb 0.665 0.332 0.338
Pd1 Pd 0.101 0.230 0.565
Pd2 Pd 0.899 0.770 0.435
# **ΔE_f**: -0.093 eV/atom
# **DOS(E_F)**: 9.4 states/eV/f.u.
# **Symmetry**: No. 2

---

# Zn2MoOs, relaxed, DFT PBE-GGA
data_Zn2MoOs
_symmetry_space_group_name_H-M 'P 1'
_symmetry_Int_Tables_number 1
_symmetry_space_group_name_Hall 'P 1'
_cell_length_a 6.152
_cell_length_b 6.152
_cell_length_c 6.152
_cell_angle_alpha 90.00
_cell_angle_beta 90.00
_cell_angle_gamma 90.00
loop_
_atom_site_label
_atom_site_type_symbol
_atom_site_fract_x
_atom_site_fract_y
_atom_site_fract_z
Zn1 Zn 0.000 0.000 0.000
Zn2 Zn 0.000 0.500 0.500
Zn3 Zn 0.250 0.250 0.250
Zn4 Zn 0.250 0.750 0.750
Zn5 Zn 0.500 0.000 0.500
Zn6 Zn 0.500 0.500 0.000
Zn7 Zn 0.750 0.250 0.750
Zn8 Zn 0.750 0.750 0.250
Mo1 Mo 0.250 0.250 0.750
Mo2 Mo 0.250 0.750 0.250
Mo3 Mo 0.750 0.250 0.250
Mo4 Mo 0.750 0.750 0.750
Os1 Os 0.000 0.000 0.500
Os2 Os 0.000 0.500 0.000
Os3 Os 0.500 0.000 0.000
Os4 Os 0.500 0.500 0.500
# **ΔE_f**: 0.095 eV/atom
# **E above lowest polymorph**: 0.19 eV per formula unit
# **DOS(E_F)**: 0.3 states/eV/f.u.
# **Symmetry**: No. 216